# KMg2P2O8 meta-GGA SCAN single point on PBEsol structure
# DFT total energy (eV/atom): -9.422
data_KMg2P2O8
_chemical_formula_sum 'K4 Mg8 P8 O32'
_cell_length_a 18.1045
_cell_length_b 5.6172
_cell_length_c 9.3772
_cell_angle_alpha 90.00
_cell_angle_beta 117.54
_cell_angle_gamma 90.00
_space_group_name_H-M_alt 'C 1 2/c 1'
_space_group_IT_number 15
loop_
_space_group_symop_operation_xyz
'x,y,z'
'-x,-y,-z'
'-x,y,-z+1/2'
'x,-y,z+1/2'
'x+1/2,y+1/2,z'
'-x+1/2,-y+1/2,-z'
'-x+1/2,y+1/2,-z+1/2'
'x+1/2,-y+1/2,z+1/2'
loop_
_atom_site_label
_atom_site_type_symbol
_atom_site_fract_x
_atom_site_fract_y
_atom_site_fract_z
K1 K 0.0000 0.1624 0.2500
Mg1 Mg 0.1484 0.3140 0.7430
P1 P 0.1375 0.1859 0.0696
O1 O 0.1023 0.2447 0.8892
O2 O 0.1039 0.0600 0.5850
O3 O 0.1062 0.3754 0.1486
O4 O 0.2326 0.1860 0.1508

---

# CaBeZn2 meta-GGA SCAN single point on PBEsol structure
# ΔE_f (eV per formula unit): 1.6
data_CaBeZn2
_chemical_formula_sum 'Ca2 Be2 Zn4'
_cell_length_a 5.5906
_cell_length_b 9.1950
_cell_length_c 2.8988
_cell_angle_alpha 90.00
_cell_angle_beta 110.77
_cell_angle_gamma 90.00
_space_group_name_H-M_alt 'C 1 2/m 1'
_space_group_IT_number 12
loop_
_space_group_symop_operation_xyz
'x,y,z'
'-x,-y,-z'
'-x,y,-z'
'x,-y,z'
'x+1/2,y+1/2,z'
'-x+1/2,-y+1/2,-z'
'-x+1/2,y+1/2,-z'
'x+1/2,-y+1/2,z'
loop_
_atom_site_label
_atom_site_type_symbol
_atom_site_fract_x
_atom_site_fract_y
_atom_site_fract_z
Ca1 Ca 0.0000 0.0000 0.0000
Be1 Be 0.0000 0.5000 0.0000
Zn1 Zn 0.2500 0.2500 0.5000

---

# KRbH2 meta-GGA SCAN single point on PBEsol structure
# ΔE to the lowest computed polymorph (eV/atom): 0.042
data_KRbH2
_chemical_formula_sum 'K4 Rb4 H8'
_cell_length_a 6.2731
_cell_length_b 6.2731
_cell_length_c 12.3607
_cell_angle_alpha 90.00
_cell_angle_beta 90.00
_cell_angle_gamma 90.00
_space_group_name_H-M_alt 'I -4 2 d'
_space_group_IT_number 122
_space_group_name_Hall 'I -4 2bw'
loop_
_atom_site_label
_atom_site_type_symbol
_atom_site_fract_x
_atom_site_fract_y
_atom_site_fract_z
K1 K 0.0000 0.0000 0.0000
Rb1 Rb 0.0000 0.0000 0.5000
H1 H 0.2301 0.2500 0.1250

---

# CoPbSe2 meta-GGA SCAN single point on PBEsol structure
# DFT total energy (eV/atom): -32.997
data_CoPbSe2
_chemical_formula_sum 'Co1 Pb1 Se2'
_cell_length_a 4.8999
_cell_length_b 4.8999
_cell_length_c 3.4063
_cell_angle_alpha 90.00
_cell_angle_beta 90.00
_cell_angle_gamma 90.00
_space_group_name_H-M_alt 'P 4/m m m'
_space_group_IT_number 123
_space_group_name_Hall '-P 4 2'
loop_
_atom_site_label
_atom_site_type_symbol
_atom_site_fract_x
_atom_site_fract_y
_atom_site_fract_z
Co1 Co 0.0000 0.0000 0.0000
Pb1 Pb 0.5000 0.5000 0.0000
Se1 Se 0.0000 0.5000 0.5000

---

In the order shown, the computed total magnetization values come out to 1.1; 0.0; 0.0; 2.9 μB per formula unit.
In the order shown, the computed volume values come out to 16.262; 17.416; 30.401; 20.446 Å³/atom.